Computed, not measured: an optimized crystal structure of HfWF2 at the GGA+U level of DFT.

Cell lengths 6.197, 6.197, 6.197 Å; angles 90.00, 90.00, 90.00 degrees
Space group Fm-3m (No. 225)
Unique sites:
Hf1 0.000 0.000 0.000 (multiplicity 4)
W1 0.000 0.000 0.500 (multiplicity 4)
F1 0.250 0.250 0.250 (multiplicity 8)

Computed properties:
The value obtained for the calculated total energy is -5.375 eV per atom. The calculation puts the density at 11.17 Mg/m³. The value obtained for the energy above the most stable polymorph in this dataset is 902 meV per atom.